# 1
LiGdTlAg, optimized geometry, DFT PBE; formation energy = -0.268 eV per atom; total magnetic moment = 7.3 μB/f.u.; volume = 22.9 Å³/atom
1.0
-2.625 3.755 2.141
-0.732 0.041 5.004
2.368 3.422 2.874
Ag Tl Gd Li
1 1 1 1
direct
0.250 0.250 0.250
0.750 0.750 0.750
0.500 0.500 0.500
0.000 0.000 0.000

# 2
LiGdZnAg, optimized geometry, DFT PBE; formation energy = -0.197 eV per atom; total magnetic moment = 7.6 μB/f.u.; volume = 20.8 Å³/atom
1.0
-1.146 -4.426 -1.773
2.669 -3.914 1.264
-1.902 -3.411 2.964
Gd Li Zn Ag
1 1 1 1
direct
0.000 0.000 0.000
0.500 0.500 0.500
0.750 0.750 0.750
0.250 0.250 0.250

# 3
GdLuAg2, optimized geometry, DFT PBE; formation energy = -0.313 eV per atom; total magnetic moment = 7.1 μB/f.u.; volume = 23.7 Å³/atom; E above lowest polymorph = 1.0 kJ/mol of atoms
1.0
-0.213 0.396 -5.100
-4.536 0.172 -2.367
-1.594 4.357 -2.165
Lu Ag Gd
1 2 1
direct
0.000 0.000 0.000
0.750 0.750 0.750
0.250 0.250 0.250
0.500 0.500 0.500

# 4
GdLuAg, optimized geometry, DFT PBE; formation energy = -0.033 eV per atom; total magnetic moment = 7.2 μB/f.u.; volume = 26.6 Å³/atom; E above lowest polymorph = 15.7 kJ/mol of atoms
1.0
-1.352 -2.647 -2.129
4.546 -2.107 -0.267
-3.168 -1.325 3.658
Lu Ag Gd
1 1 1
direct
0.093 0.000 0.000
0.281 0.333 0.667
0.626 0.667 0.333

# 5
GdLuAg2, optimized geometry, DFT PBE; formation energy = -0.323 eV per atom; total magnetic moment = 7.3 μB/f.u.; volume = 23.6 Å³/atom; E above lowest polymorph = 0.0 kJ/mol of atoms
1.0
3.572 0.000 0.000
0.000 3.572 0.000
0.000 0.000 7.392
Ag Gd Lu
2 1 1
direct
0.000 0.000 0.769
0.000 0.000 0.231
0.500 0.500 0.500
0.500 0.500 0.000

# 6
Gd2LuAg, optimized geometry, DFT PBE; formation energy = -0.116 eV per atom; total magnetic moment = 15.5 μB/f.u.; volume = 28.1 Å³/atom; E above lowest polymorph = 0.0 kJ/mol of atoms
1.0
3.633 0.000 0.000
0.000 3.633 0.000
0.000 0.000 8.506
Gd Ag Lu
2 1 1
direct
0.000 0.000 0.221
0.000 0.000 0.779
0.500 0.500 0.000
0.500 0.500 0.500

# 7
Gd2LuAg, optimized geometry, DFT PBE; formation energy = 0.032 eV per atom; total magnetic moment = 14.6 μB/f.u.; volume = 27.3 Å³/atom; E above lowest polymorph = 14.3 kJ/mol of atoms
1.0
-3.942 3.306 1.526
-4.992 -1.875 0.604
-2.124 -0.443 4.908
Gd Lu Ag
2 1 1
direct
0.750 0.750 0.750
0.250 0.250 0.250
0.500 0.500 0.500
0.000 0.000 0.000

# 8
GdLu2Ag, optimized geometry, DFT PBE; formation energy = -0.132 eV per atom; total magnetic moment = 7.8 μB/f.u.; volume = 27.1 Å³/atom; E above lowest polymorph = 0.0 kJ/mol of atoms
1.0
-1.245 -2.690 1.864
-0.239 -1.914 -2.923
8.229 -2.941 1.252
Gd Ag Lu
1 1 2
direct
0.500 0.500 0.500
0.500 0.500 0.000
0.000 0.000 0.791
0.000 0.000 0.209